This record from Alexandria describes an optimized crystal structure of TmThInOs. The functional is PBE-GGA.

```
data_TmThInOs
_cell_length_a 5.132
_cell_length_b 5.132
_cell_length_c 5.132
_cell_angle_alpha 60.00
_cell_angle_beta 60.00
_cell_angle_gamma 60.00
_symmetry_space_group_name_H-M 'P 1'
_symmetry_Int_Tables_number 1
_symmetry_space_group_name_Hall 'P 1'
loop_
_atom_site_label
_atom_site_type_symbol
_atom_site_fract_x
_atom_site_fract_y
_atom_site_fract_z
_atom_site_occupancy
Tm1 Tm 0.000 0.000 0.000 1
Th1 Th 0.500 0.500 0.500 1
In1 In 0.250 0.250 0.250 1
Os1 Os 0.750 0.750 0.750 1
```

Calculated values
relative energy among the computed polymorphs: 0.227 eV/atom
formation energy from the elements: -0.151 eV/atom
ρ: 12.3 Mg/m³